Entry 1:
A relaxed YTaSi2 crystal. Source: the Alexandria database, functional PBE.

```
4
Lattice="-3.746 -1.383 1.634 -0.840 -2.081 -3.686 1.781 -3.181 1.390" Properties=species:S:1:pos:R:3 pbc="T T T"
Y 0.471 -2.631 -1.148
Ta -0.983 -2.282 1.512
Si 0.000 0.000 0.000
Si -2.293 -1.732 -1.026
```

Computed properties:
Excess energy over the best structure of this formula in the dataset in eV/atom: 0.434
Energy relative to the elements, uncorrected in eV per formula unit: -0.41
Magnetic moment in μB/cell: 0.0
DOS at the Fermi energy in states/eV/atom: 0.623

Entry 2:
A relaxed YTa2Si crystal. Source: the Alexandria database, functional PBE.

```
4
Lattice="3.439 0.000 0.000 0.000 3.439 0.000 0.000 0.000 6.686" Properties=species:S:1:pos:R:3 pbc="T T T"
Y 0.000 0.000 3.401
Si 1.720 1.720 5.332
Ta 0.000 0.000 6.604
Ta 1.720 1.720 1.378
```

Computed properties:
Energy relative to the elements, uncorrected in eV per formula unit: -0.50
Magnetic moment in μB/cell: 0.0
DOS at the Fermi energy in states/eV/atom: 1.096

Entry 3:
A relaxed YTa2Si crystal. Source: the Alexandria database, functional PBE.

```
4
Lattice="-0.297 1.860 -2.408 -2.726 -1.369 0.205 -2.776 6.311 5.216" Properties=species:S:1:pos:R:3 pbc="T T T"
Y -1.438 3.269 2.702
Ta -2.136 1.667 0.073
Si -3.666 5.145 2.948
Ta -2.721 6.187 5.114
```

Computed properties:
Energy relative to the elements, uncorrected in eV per formula unit: 0.05
Magnetic moment in μB/cell: 0.0
DOS at the Fermi energy in states/eV/atom: 1.076

Q: What is the DOS at the Fermi energy in the second record?
A: 1.096 states/eV/atom

Q: Among the records above, which one has the highest energy relative to the elements, uncorrected?
A: number 3